The following is a GGA+U calculation of a geometry-optimized KThVO4 structure, from Alexandria via LeMat-Bulk.

Output
The calculated volume comes out at 229.4 Å³ per cell. Its final energy is -7.674 eV/atom.

a = 6.5681 Å, b = 6.8224 Å, c = 7.4976 Å
α = 123.33°, β = 90.00°, γ = 118.77°
Last column: nearest neighbours and their distance in Å.
Fractional positions:
K1 0.8573 0.7146 0.1073  4 O 2.46-2.62
K2 0.1427 0.2854 0.8927  4 O 2.46-2.62
Th1 0.5000 0.0000 0.5000  6 O 2.30-2.35
Th2 0.5000 0.0000 0.0000  6 O 2.30-2.35
V1 0.5000 0.5000 0.5000  6 O 2.10-2.14
V2 0.0000 0.5000 0.5000  6 O 2.10-2.14
O1 0.7407 0.4815 0.6726  2 V 2.14, 1 Th 2.30
O2 0.3143 0.0521 0.2761  1 V 2.10, 2 Th 2.35
O3 0.7379 0.0521 0.2761  1 V 2.10, 2 Th 2.35
O4 0.7407 0.4815 0.3088  2 V 2.14, 1 Th 2.30
O5 0.2593 0.5185 0.6912  2 V 2.14, 1 Th 2.30
O6 0.6857 0.9479 0.7239  1 V 2.10, 2 Th 2.35
O7 0.2621 0.9479 0.7239  1 V 2.10, 2 Th 2.35
O8 0.2593 0.5185 0.3274  2 V 2.14, 1 Th 2.30